No. 1
! AsPdF6, optimized geometry, DFT GGA-PBE; values from VASP
! Final energy = -33.172 eV/f.u.
! Theoretical density = 5.0 g/cm³
&SYSTEM
  ibrav = 0, nat = 8, ntyp = 3
/
ATOMIC_SPECIES
As 74.92 As.upf
Pd 106.42 Pd.upf
F 19.00 F.upf
CELL_PARAMETERS angstrom
0.000 3.669 3.669
3.669 0.000 3.669
3.669 3.669 0.000
ATOMIC_POSITIONS crystal
As 0.000 0.000 0.000
Pd 0.250 0.250 0.250
F 0.240 0.240 0.760
F 0.240 0.760 0.240
F 0.240 0.760 0.760
F 0.760 0.240 0.240
F 0.760 0.240 0.760
F 0.760 0.760 0.240

=====

No. 2
! SrTmAsF, optimized geometry, DFT GGA-PBE; values from VASP
! Total magnetic moment = 0.23 Bohr magnetons per cell
! Final energy = -20.894 eV/f.u.
! Theoretical density = 6.4 g/cm³
&SYSTEM
  ibrav = 0, nat = 8, ntyp = 4
/
ATOMIC_SPECIES
Sr 87.62 Sr.upf
Tm 168.93 Tm.upf
As 74.92 As.upf
F 19.00 F.upf
CELL_PARAMETERS angstrom
4.530 0.000 0.000
0.000 4.530 0.000
0.000 0.000 8.884
ATOMIC_POSITIONS crystal
Sr 0.250 0.250 0.129
Sr 0.750 0.750 0.871
Tm 0.250 0.750 0.500
Tm 0.750 0.250 0.500
As 0.250 0.250 0.688
As 0.750 0.750 0.312
F 0.250 0.750 0.000
F 0.750 0.250 0.000

=====

No. 3
! SrZnAsF, optimized geometry, DFT GGA-PBE; values from VASP
! Final energy = -17.073 eV/f.u.
! Theoretical density = 5.4 g/cm³
&SYSTEM
  ibrav = 0, nat = 8, ntyp = 4
/
ATOMIC_SPECIES
Sr 87.62 Sr.upf
Zn 65.41 Zn.upf
As 74.92 As.upf
F 19.00 F.upf
CELL_PARAMETERS angstrom
4.096 0.000 0.000
0.000 4.096 0.000
0.000 0.000 9.087
ATOMIC_POSITIONS crystal
Sr 0.250 0.250 0.155
Sr 0.750 0.750 0.845
Zn 0.250 0.750 0.500
Zn 0.750 0.250 0.500
As 0.250 0.250 0.672
As 0.750 0.750 0.328
F 0.250 0.750 0.000
F 0.750 0.250 0.000

=====

No. 4
! Zn2AsF2, optimized geometry, DFT GGA-PBE; values from VASP
! Final energy = -16.793 eV/f.u.
! Theoretical density = 6.0 g/cm³
&SYSTEM
  ibrav = 0, nat = 5, ntyp = 3
/
ATOMIC_SPECIES
Zn 65.41 Zn.upf
As 74.92 As.upf
F 19.00 F.upf
CELL_PARAMETERS angstrom
3.305 0.000 0.000
-1.643 3.228 0.000
-0.004 -0.038 6.283
ATOMIC_POSITIONS crystal
Zn 0.180 0.359 0.238
Zn 0.820 0.641 0.762
As 0.500 0.000 0.500
F 0.156 0.312 0.892
F 0.844 0.688 0.108